[1]
Below is a relaxed CsLaBiI2 crystal, with properties calculated at the GGA-PBE level.

a = 7.011 Å, b = 6.059 Å, c = 7.011 Å
α = 90.00°, β = 90.00°, γ = 90.00°
Sites, in units of the cell vectors:
Cs1 0.500 0.500 0.500
I1 0.000 0.000 0.500
I2 0.500 0.000 0.000
Bi1 0.000 0.000 0.000
La1 0.000 0.500 0.000

***

[2]
Below is a relaxed Cs2LaBiI6 crystal, with properties calculated at the GGA-PBE level.

a = 8.819 Å, b = 8.819 Å, c = 9.654 Å
α = 62.82°, β = 62.82°, γ = 90.00°
Sites, in units of the cell vectors:
Cs1 0.750 0.250 0.500
Cs2 0.250 0.750 0.500
I1 0.286 0.286 0.429
I2 0.714 0.714 0.571
I3 0.248 0.248 0.000
I4 0.752 0.752 0.000
I5 0.752 0.248 0.000
I6 0.248 0.752 0.000
Bi1 0.000 0.000 0.000
La1 0.500 0.500 0.000

***

[3]
Below is a relaxed Cs2LiBiI crystal, with properties calculated at the GGA-PBE level.

a = 7.360 Å, b = 7.360 Å, c = 5.344 Å
α = 90.00°, β = 90.00°, γ = 90.00°
Each line ends with the local moment (μB).
Sites, in units of the cell vectors:
Cs1 0.000 0.500 0.000  0.01
Cs2 0.500 0.000 0.000  0.01
I1 0.500 0.500 0.500  0.00
Bi1 0.000 0.000 0.000  0.27
Li1 0.000 0.000 0.500  0.00

***

| no. | formation energy (no corrections) (eV/atom) |
| --- | --- |
| 1 | -0.31 |
| 2 | -1.11 |
| 3 | -0.60 |